VASP calculation (PBE+U) on crystalline Zn2CoO4 at its relaxed geometry.

Summary:
- E (eV/atom) = -5.0432
- M_tot (Bohr magnetons per cell) = 4.1

```
data_Zn2CoO4
_chemical_formula_sum 'Zn8 Co4 O16'
_cell_length_a 5.948
_cell_length_b 5.948
_cell_length_c 8.318
_cell_angle_alpha 90.00
_cell_angle_beta 90.00
_cell_angle_gamma 90.00
_space_group_name_H-M_alt 'P 41 2 2'
_space_group_IT_number 91
loop_
_space_group_symop_operation_xyz
'x,y,z'
'-y,x,z+1/4'
'-x,-y,z+1/2'
'y,-x,z+3/4'
'x,-y,-z+1/2'
'-y,-x,-z+1/4'
'-x,y,-z'
'y,x,-z+3/4'
loop_
_atom_site_label
_atom_site_type_symbol
_atom_site_fract_x
_atom_site_fract_y
_atom_site_fract_z
_atom_site_occupancy
Zn1 Zn 0.000 0.251 0.000 1
Zn2 Zn 0.251 0.251 0.375 1
Co1 Co 0.257 0.500 0.750 1
O1 O 0.034 0.274 0.749 1
O2 O 0.272 0.482 0.980 1
```